(1)
## LaY5Bi6 (GGA-PBE)

Data for a relaxed LaY5Bi6 crystal.

volume	784.56	Å³/cell
raw total energy	-0.2192	Ha/atom
DFT formation energy	-0.92	eV/atom

a b c (Å): 7.8332 13.5682 7.8320
angles (deg): 90.00 109.52 90.00
Closest atoms and distances in Å follow each position.
Space group C2/m (No. 12)
Unique sites:
La 0.0000 0.0000 0.0000 [2 per cell]  6 Bi 3.25-3.26
Y 0.0000 0.1636 0.5000 [4 per cell]  6 Bi 3.16-3.20
Y 0.0000 0.3323 0.0000 [4 per cell]  6 Bi 3.19-3.20
Y 0.0000 0.5000 0.5000 [2 per cell]  6 Bi 3.14-3.20
Bi 0.2434 0.5000 0.2520 [4 per cell]  5 Y 3.14-3.19, 1 La 3.25
Bi 0.2446 0.3300 0.7448 [8 per cell]  5 Y 3.16-3.20, 1 La 3.26

(2)
## LaGa2Ni (GGA-PBE)

Data for a relaxed LaGa2Ni crystal.

volume	243.86	Å³/cell
raw total energy	-0.1752	Ha/atom
DFT formation energy	-0.58	eV/atom

a b c (Å): 4.1493 4.1493 16.3550
angles (deg): 90.00 90.00 120.00
Closest atoms and distances in Å follow each position.
Space group R-3m (No. 166, hexagonal axes)
Unique sites:
La 0.0000 0.0000 0.0000 [3 per cell]  8 Ga 3.15-3.40
Ga 0.0000 0.0000 0.2079 [6 per cell]  3 Ni 2.49, 3 Ga 2.75
Ni 0.0000 0.0000 0.5000 [3 per cell]  6 Ga 2.49

(3)
## KZrTc4 (GGA-PBE)

Data for a relaxed KZrTc4 crystal.

volume	437.12	Å³/cell
raw total energy	-0.2912	Ha/atom
DFT formation energy	0.59	eV/atom

a b c (Å): 7.5893 7.5893 7.5893
angles (deg): 90.00 90.00 90.00
Closest atoms and distances in Å follow each position.
Space group F-43m (No. 216)
Unique sites:
K 0.0000 0.0000 0.0000 [4 per cell]  12 Tc 3.15, 4 Zr 3.29
Zr 0.2500 0.2500 0.2500 [4 per cell]  12 Tc 3.15, 4 K 3.29
Tc 0.1249 0.1249 0.6249 [16 per cell]  6 Tc 2.68-2.69

(4)
## BaSrO2 (GGA-PBE)

Data for a relaxed BaSrO2 crystal.

formation energy from raw total energies	-241	kJ/mol of atoms
volume	392.24	Å³/cell
energy relative to the lowest polymorph listed for this composition	72.8	meV per atom
raw total energy	-0.2162	Ha/atom

a b c (Å): 5.8499 5.8499 11.4619
angles (deg): 90.00 90.00 90.00
Closest atoms and distances in Å follow each position.
Space group I-42d (No. 122)
Unique sites:
Ba 0.0000 0.0000 0.0000 [4 per cell]  4 O 2.59
Sr 0.0000 0.0000 0.5000 [4 per cell]  4 O 2.44
O 0.2277 0.2500 0.6250 [8 per cell]  2 Sr 2.44, 2 Ba 2.59

(5)
## Mg3VAu (GGA-PBE)

Data for a relaxed Mg3VAu crystal.

volume	127.60	Å³/cell
energy relative to the lowest polymorph listed for this composition	0.0	meV per atom
raw total energy	-0.1113	Ha/atom
DFT formation energy	0.41	eV/atom

a b c (Å): 5.0344 5.0344 5.0344
angles (deg): 90.00 90.00 90.00
Closest atoms and distances in Å follow each position.
Space group Pm-3m (No. 221)
Unique sites:
Mg 0.0000 0.0000 0.5000 [3 per cell]  2 Au 2.52
V 0.5000 0.5000 0.5000 [1 per cell]  12 Mg 3.56
Au 0.0000 0.0000 0.0000 [1 per cell]  6 Mg 2.52

(6)
## BaIrIO6 (GGA-PBE)

Data for a relaxed BaIrIO6 crystal.

formation energy from raw total energies	-107	kJ/mol of atoms
volume	146.30	Å³/cell
raw total energy	-0.2128	Ha/atom

a b c (Å): 5.3940 5.3940 5.8061
angles (deg): 90.00 90.00 120.00
Closest atoms and distances in Å follow each position.
Space group P312 (No. 149)
Unique sites:
Ba 0.0000 0.0000 0.0000 [1 per cell]  6 O 2.70
Ir 0.3333 0.6667 0.5000 [1 per cell]  6 O 2.03
I 0.6667 0.3333 0.5000 [1 per cell]  6 O 2.02
O 0.3725 0.0008 0.6878 [6 per cell]  1 I 2.02, 1 Ir 2.03

(7)
## ZrSb2TeIr (GGA-PBE)

Data for a relaxed ZrSb2TeIr crystal.

formation energy from raw total energies	107	kJ/mol of atoms
volume	161.49	Å³/cell
energy relative to the lowest polymorph listed for this composition	579.2	meV per atom
raw total energy	-0.1709	Ha/atom

a b c (Å): 5.4732 5.4732 5.3909
angles (deg): 90.00 90.00 90.00
Closest atoms and distances in Å follow each position.
Space group P4/mmm (No. 123)
Unique sites:
Zr 0.0000 0.0000 0.0000 [1 per cell]  2 Te 2.70, 4 Sb 2.74
Sb 0.0000 0.5000 0.0000 [2 per cell]  2 Zr 2.74
Te 0.0000 0.0000 0.5000 [1 per cell]  2 Zr 2.70
Ir 0.5000 0.5000 0.5000 [1 per cell]  8 Sb 3.84, 4 Te 3.87

(8)
## Mg2ZnGeRh (GGA-PBE)

Data for a relaxed Mg2ZnGeRh crystal.

volume	175.61	Å³/cell
energy relative to the lowest polymorph listed for this composition	0.0	meV per atom
raw total energy	-0.1304	Ha/atom
DFT formation energy	-0.26	eV/atom

a b c (Å): 3.0892 4.4422 12.7970
angles (deg): 90.00 90.00 90.00
Closest atoms and distances in Å follow each position.
Space group Imm2 (No. 44)
Unique sites:
Mg 0.0000 0.0000 0.0000 [2 per cell]  2 Rh 2.74, 4 Zn 2.83, 1 Ge 2.95
Mg 0.0000 0.0000 0.3501 [2 per cell]  2 Rh 2.70, 1 Zn 2.76, 4 Ge 2.90
Zn 0.0000 0.0000 0.5658 [2 per cell]  1 Ge 2.61, 2 Rh 2.64, 5 Mg 2.76-2.83
Ge 0.0000 0.0000 0.7694 [2 per cell]  2 Rh 2.52, 1 Zn 2.61
Rh 0.0000 0.5000 0.6770 [2 per cell]  2 Ge 2.52, 2 Zn 2.64, 4 Mg 2.70-2.74

(9)
## K3Sm3ScS8 (GGA-PBE)

Data for a relaxed K3Sm3ScS8 crystal.

formation energy from raw total energies	-167	kJ/mol of atoms
volume	1277.79	Å³/cell
raw total energy	-0.2029	Ha/atom

a b c (Å): 8.0964 8.0964 22.5033
angles (deg): 90.00 90.00 120.00
Closest atoms and distances in Å follow each position.
Space group R-3m (No. 166, hexagonal axes)
Unique sites:
K 0.0000 0.5000 0.0000 [9 per cell]  6 S 3.21-3.24
Sm 0.0000 0.5000 0.5000 [9 per cell]  6 S 2.81
Sc 0.0000 0.0000 0.5000 [3 per cell]  6 S 2.64
S 0.0000 0.0000 0.2356 [6 per cell]  3 Sm 2.81
S 0.0189 0.5095 0.2311 [18 per cell]  1 Sc 2.64, 2 Sm 2.81

(10)
## Ce2Zn3Os (GGA-PBE)

Data for a relaxed Ce2Zn3Os crystal.

volume	222.55	Å³/cell
raw total energy	-0.1738	Ha/atom
DFT formation energy	-0.24	eV/atom

a b c (Å): 9.1651 5.2812 5.5228
angles (deg): 90.00 123.64 90.00
Closest atoms and distances in Å follow each position.
Space group C2/m (No. 12)
Unique sites:
Ce 0.1334 0.0000 0.4002 [4 per cell]  3 Os 3.09, 9 Zn 3.15-3.22, 3 Ce 3.18-3.19
Zn 0.0000 0.5000 0.0000 [2 per cell]  4 Zn 2.64, 2 Os 2.76
Zn 0.2500 0.2500 0.0000 [4 per cell]  4 Zn 2.64, 2 Os 2.76
Os 0.0000 0.5000 0.5000 [2 per cell]  6 Zn 2.76, 6 Ce 3.09

(11)
## NaBe6Au6 (GGA-PBE)

Data for a relaxed NaBe6Au6 crystal.

volume	355.81	Å³/cell
raw total energy	-0.1277	Ha/atom
DFT formation energy	-0.14	eV/atom

a b c (Å): 4.9130 8.4295 8.5915
angles (deg): 90.00 90.00 90.00
Closest atoms and distances in Å follow each position.
Space group Immm (No. 71)
Unique sites:
Na 0.0000 0.0000 0.0000 [2 per cell]  8 Au 2.77-2.91
Be 0.0000 0.2617 0.5000 [4 per cell]  4 Be 2.48, 6 Au 2.49-2.61
Be 0.2500 0.2500 0.2500 [8 per cell]  4 Be 2.46-2.48, 6 Au 2.53-2.56
Au 0.0000 0.0000 0.3384 [4 per cell]  6 Be 2.55-2.61, 3 Au 2.78-2.84
Au 0.0000 0.3284 0.0000 [4 per cell]  6 Be 2.56-2.57, 1 Na 2.77
Au 0.0000 0.5000 0.3286 [4 per cell]  6 Be 2.49-2.53

(12)
## Li2ThAu3 (GGA-PBE)

Data for a relaxed Li2ThAu3 crystal.

volume	235.93	Å³/cell
raw total energy	-0.1501	Ha/atom
DFT formation energy	-0.57	eV/atom

a b c (Å): 4.5227 4.5227 13.3186
angles (deg): 90.00 90.00 120.00
Closest atoms and distances in Å follow each position.
Space group P6_3/mmc (No. 194)
Unique sites:
Li 0.3333 0.6667 0.0667 [4 per cell]  7 Au 2.60-2.76
Th 0.0000 0.0000 0.2500 [2 per cell]  8 Au 3.07-3.33
Au 0.0000 0.0000 0.0000 [2 per cell]  6 Li 2.76
Au 0.3333 0.6667 0.6288 [4 per cell]  4 Li 2.60-2.74

(13)
## SrScAg2F8 (GGA-PBE)

Data for a relaxed SrScAg2F8 crystal.

formation energy from raw total energies	-262	kJ/mol of atoms
volume	189.44	Å³/cell
raw total energy	-0.1878	Ha/atom

a b c (Å): 4.7122 5.5363 7.2843
angles (deg): 91.84 90.15 94.12
Closest atoms and distances in Å follow each position.
Space group P-1 (No. 2)
Unique sites:
Sr 0.0000 0.0000 0.0000 [1 per cell]  6 F 2.44-2.48
Sc 0.0000 0.0000 0.5000 [1 per cell]  6 F 2.04-2.07
Ag 0.4852 0.4964 0.7439 [2 per cell]  5 F 2.23-2.46
F 0.1229 0.7915 0.2821 [2 per cell]  1 Sc 2.04
F 0.1278 0.7949 0.7086 [2 per cell]  1 Sc 2.04
F 0.3578 0.2408 0.5036 [2 per cell]  1 Sc 2.07, 1 Ag 2.27
F 0.4359 0.2646 0.0063 [2 per cell]  2 Ag 2.23-2.34, 1 Sr 2.44

(14)
## MgPaSeO6 (GGA-PBE)

Data for a relaxed MgPaSeO6 crystal.

formation energy from raw total energies	-206	kJ/mol of atoms
volume	220.65	Å³/cell
raw total energy	-0.2595	Ha/atom

a b c (Å): 5.1565 5.1565 9.5822
angles (deg): 90.00 90.00 120.00
Closest atoms and distances in Å follow each position.
Space group P-31c (No. 163)
Unique sites:
Mg 0.3333 0.6667 0.2500 [2 per cell]  6 O 2.09
Pa 0.0000 0.0000 0.0000 [2 per cell]  6 O 2.21
Se 0.3333 0.6667 0.7500 [2 per cell]  6 O 1.94
O 0.0217 0.3571 0.6349 [12 per cell]  1 Se 1.94, 1 Mg 2.09

(15)
## Ta2AsSe (GGA-PBE)

Data for a relaxed Ta2AsSe crystal.

formation energy from raw total energies	-20	kJ/mol of atoms
volume	267.95	Å³/cell
energy relative to the lowest polymorph listed for this composition	187.3	meV per atom
raw total energy	-0.3003	Ha/atom

a b c (Å): 6.4469 6.4469 6.4469
angles (deg): 90.00 90.00 90.00
Closest atoms and distances in Å follow each position.
Space group Fm-3m (No. 225)
Unique sites:
Ta 0.2500 0.2500 0.2500 [8 per cell]  4 Se 2.79, 4 As 2.79
As 0.0000 0.0000 0.0000 [4 per cell]  8 Ta 2.79
Se 0.0000 0.0000 0.5000 [4 per cell]  8 Ta 2.79

(16)
## CePrTh3 (GGA-PBE)

Data for a relaxed CePrTh3 crystal.

volume	320.14	Å³/cell
raw total energy	-0.2404	Ha/atom
DFT formation energy	0.05	eV/atom

a b c (Å): 3.5641 3.5641 29.1009
angles (deg): 90.00 90.00 120.00
Closest atoms and distances in Å follow each position.
Space group P6_3mc (No. 186)
Unique sites:
Ce 0.0000 0.0000 0.0000 [2 per cell]  6 Th 3.46-3.52, 6 Ce 3.56
Pr 0.3333 0.6667 0.1979 [2 per cell]  6 Pr 3.56, 6 Th 3.62-3.68
Th 0.0000 0.0000 0.3026 [2 per cell]  9 Th 3.55-3.56, 3 Pr 3.68
Th 0.3333 0.6667 0.5955 [2 per cell]  3 Ce 3.46, 6 Th 3.56, 3 Pr 3.62
Th 0.3333 0.6667 0.9018 [2 per cell]  3 Ce 3.52, 9 Th 3.55-3.56

(17)
## As2AuCSe (GGA-PBE)

Data for a relaxed As2AuCSe crystal.

formation energy from raw total energies	203	kJ/mol of atoms
volume	129.89	Å³/cell
energy relative to the lowest polymorph listed for this composition	1014.4	meV per atom
raw total energy	-0.1084	Ha/atom

a b c (Å): 5.0212 5.0212 5.1520
angles (deg): 90.00 90.00 90.00
Closest atoms and distances in Å follow each position.
Space group P4/mmm (No. 123)
Unique sites:
As 0.0000 0.5000 0.0000 [2 per cell]  2 Au 2.51
Au 0.0000 0.0000 0.0000 [1 per cell]  4 As 2.51, 2 Se 2.58
C 0.5000 0.5000 0.5000 [1 per cell]  4 Se 3.55, 8 As 3.60
Se 0.0000 0.0000 0.5000 [1 per cell]  2 Au 2.58

(18)
## Y2TlP (GGA-PBE)

Data for a relaxed Y2TlP crystal.

volume	217.04	Å³/cell
energy relative to the lowest polymorph listed for this composition	264.5	meV per atom
raw total energy	-0.2171	Ha/atom
DFT formation energy	-0.73	eV/atom

a b c (Å): 3.6439 3.7114 16.0479
angles (deg): 90.00 90.00 90.00
Closest atoms and distances in Å follow each position.
Space group Imm2 (No. 44)
Unique sites:
Y 0.0000 0.0000 0.0000 [2 per cell]  4 P 2.84
Y 0.0000 0.5000 0.2035 [2 per cell]  2 P 2.80
Tl 0.0000 0.5000 0.8320 [2 per cell]  6 Y 3.27-3.32, 2 Tl 3.64
P 0.0000 0.0000 0.5711 [2 per cell]  6 Y 2.80-2.84

(19)
## CrIn2Pt (GGA-PBE)

Data for a relaxed CrIn2Pt crystal.

volume	72.47	Å³/cell
raw total energy	-0.1963	Ha/atom
DFT formation energy	-0.06	eV/atom

a b c (Å): 4.2883 4.2883 3.9408
angles (deg): 90.00 90.00 90.00
Closest atoms and distances in Å follow each position.
Space group P4/mmm (No. 123)
Unique sites:
Cr 0.0000 0.0000 0.0000 [1 per cell]  8 In 2.91, 4 Pt 3.03
In 0.0000 0.5000 0.5000 [2 per cell]  4 Cr 2.91, 4 Pt 2.91, 4 In 3.03
Pt 0.5000 0.5000 0.0000 [1 per cell]  8 In 2.91, 4 Cr 3.03

(20)
## MgHg2Au6 (GGA-PBE)

Data for a relaxed MgHg2Au6 crystal.

volume	339.40	Å³/cell
raw total energy	-0.0927	Ha/atom
DFT formation energy	-0.09	eV/atom

a b c (Å): 8.9474 8.9474 4.2396
angles (deg): 90.00 90.00 90.00
Closest atoms and distances in Å follow each position.
Space group P4_2/mnm (No. 136)
Unique sites:
Mg 0.0000 0.0000 0.0000 [2 per cell]  8 Au 2.92-2.97, 4 Hg 3.02
Hg 0.1703 0.1703 0.5000 [4 per cell]  10 Au 2.94-3.03, 2 Mg 3.02
Au 0.9995 0.3316 0.0000 [8 per cell]  3 Hg 2.95-2.98, 1 Mg 2.97, 8 Au 2.98-3.06
Au 0.1585 0.8415 0.5000 [4 per cell]  2 Mg 2.92, 4 Hg 2.94-3.03, 6 Au 2.98-3.06